1.
Density functional theory data (SCAN) for a crystal of Ta2AgIr relaxed with PBEsol.

Values from the calculation:
Calculated formation energy: -0.1155 eV/atom
Total magnetic moment: 0.0 μB/cell
Space-group type: I4/mmm (139)
Calculated volume: 16.05 Å³/atom

abc: 3.978 3.978 4.937
angles: 113.76 113.76 90.00
Element x y z (fractional)
Ir  0.500  0.500  0.000
Ag  0.000  0.000  0.000
Ta  0.750  0.250  0.500
Ta  0.250  0.750  0.500



2.
Density functional theory data (SCAN) for a crystal of WSeCl relaxed with PBEsol.

Values from the calculation:
Total magnetic moment: 1.0 μB/cell
Energy relative to the elements, uncorrected: 0.272 eV per atom
Space-group type: F-43m (216)
Calculated volume: 18.30 Å³/atom

abc: 4.266 4.266 4.266
angles: 60.00 60.00 60.00
Site moments in Bohr magnetons follow the coordinates.
Element x y z (fractional)
W  0.250  0.250  0.250  0.82
Cl  0.000  0.000  0.000  0.00
Se  0.500  0.500  0.500  -0.03



3.
Density functional theory data (SCAN) for a crystal of Ca2AsH4F13 relaxed with PBEsol.

Values from the calculation:
Total magnetic moment: 1.0 μB/cell
Space-group type: P4_322 (95)
E_tot: -605.14 eV for the cell shown
Calculated volume: 11.20 Å³/atom

abc: 7.164 7.164 17.461
angles: 90.00 90.00 90.00
Site moments in Bohr magnetons follow the coordinates.
Element x y z (fractional)
H  0.385  0.537  0.191  0.00
F  0.500  0.495  0.500  0.01
F  0.830  0.611  0.516  0.00
H  0.368  0.111  0.624  0.00
F  0.500  0.505  0.000  0.01
H  0.615  0.463  0.691  0.00
F  0.829  0.042  0.988  0.00
F  0.825  0.563  0.179  0.06
F  0.958  0.171  0.762  0.00
F  0.563  0.175  0.429  0.06
Ca  0.725  0.259  0.213  0.00
F  0.707  0.564  0.851  0.03
F  0.707  0.436  0.649  0.03
H  0.463  0.615  0.559  0.00
H  0.615  0.537  0.809  0.00
F  0.495  0.500  0.750  0.01
Ca  0.259  0.275  0.463  0.00
F  0.944  0.300  0.429  0.02
F  0.170  0.611  0.484  0.00
Ca  0.275  0.259  0.787  0.00
As  0.000  0.217  0.000  0.00
F  0.611  0.830  0.734  0.00
H  0.889  0.632  0.126  0.00
F  0.944  0.700  0.071  0.02
F  0.171  0.958  0.488  0.00
F  0.436  0.707  0.601  0.03
F  0.389  0.830  0.266  0.00
F  0.437  0.825  0.929  0.06
Ca  0.741  0.275  0.537  0.00
F  0.564  0.293  0.101  0.03
H  0.537  0.385  0.059  0.00
Ca  0.275  0.741  0.713  0.00
F  0.175  0.563  0.821  0.06
F  0.782  0.049  0.652  0.00
F  0.300  0.944  0.821  0.02
F  0.042  0.829  0.262  0.00
H  0.111  0.368  0.626  0.00
F  0.175  0.437  0.679  0.06
Ca  0.259  0.725  0.037  0.00
F  0.171  0.042  0.012  0.00
F  0.218  0.951  0.152  0.00
H  0.368  0.889  0.876  0.00
F  0.389  0.170  0.234  0.00
F  0.564  0.707  0.399  0.03
F  0.437  0.175  0.571  0.06
F  0.700  0.056  0.321  0.02
F  0.218  0.049  0.348  0.00
F  0.951  0.782  0.402  0.00
F  0.830  0.389  0.984  0.00
F  0.700  0.944  0.179  0.02
As  0.000  0.783  0.500  0.00
F  0.782  0.951  0.848  0.00
H  0.632  0.111  0.376  0.00
F  0.829  0.958  0.512  0.00
H  0.537  0.615  0.441  0.00
F  0.563  0.825  0.071  0.06
F  0.300  0.056  0.679  0.02
F  0.293  0.564  0.149  0.03
H  0.385  0.463  0.309  0.00
Ca  0.725  0.741  0.287  0.00
F  0.049  0.782  0.598  0.00
F  0.825  0.437  0.321  0.06
F  0.505  0.500  0.250  0.01
F  0.611  0.170  0.766  0.00
F  0.056  0.300  0.571  0.02
Ca  0.741  0.725  0.963  0.00
As  0.783  0.000  0.750  0.00
As  0.217  0.000  0.250  0.00
H  0.463  0.385  0.941  0.00
H  0.111  0.632  0.874  0.00
F  0.436  0.293  0.899  0.03
H  0.889  0.368  0.374  0.00
F  0.056  0.700  0.929  0.02
F  0.958  0.829  0.738  0.00
H  0.632  0.889  0.124  0.00
F  0.042  0.171  0.238  0.00
F  0.293  0.436  0.351  0.03
F  0.170  0.389  0.016  0.00
F  0.049  0.218  0.902  0.00
F  0.951  0.218  0.098  0.00



4.
Density functional theory data (SCAN) for a crystal of LaNi2 relaxed with PBEsol.

Values from the calculation:
Calculated formation energy: -0.2685 eV/atom
Total magnetic moment: 0.0 μB/cell
Space-group type: Fd-3m (227)
Calculated volume: 15.72 Å³/atom

abc: 5.110 5.110 5.110
angles: 60.00 60.00 60.00
Element x y z (fractional)
Ni  0.125  0.125  0.125
La  0.750  0.750  0.750
Ni  0.125  0.625  0.125
Ni  0.125  0.125  0.625
Ni  0.625  0.125  0.125
La  0.500  0.500  0.500



5.
Density functional theory data (SCAN) for a crystal of Ba2HfMgSi relaxed with PBEsol.

Values from the calculation:
Total magnetic moment: 1.1 μB/cell
Energy relative to the elements, uncorrected: 1.156 eV per atom
Space-group type: P4/mmm (123)
Calculated volume: 37.53 Å³/atom

abc: 5.499 5.842 5.842
angles: 90.00 90.00 90.00
Site moments in Bohr magnetons follow the coordinates.
Element x y z (fractional)
Mg  0.500  0.000  0.000  0.02
Hf  0.000  0.000  0.000  0.75
Ba  0.000  0.500  0.000  0.12
Si  0.500  0.500  0.500  -0.10
Ba  0.000  0.000  0.500  0.12



6.
Density functional theory data (SCAN) for a crystal of CsNaCd2 relaxed with PBEsol.

Values from the calculation:
Calculated formation energy: 0.0833 eV/atom
Total magnetic moment: 0.0 μB/cell
Space-group type: Fm-3m (225)
Calculated volume: 36.37 Å³/atom

abc: 5.904 5.904 5.904
angles: 60.00 60.00 60.00
Element x y z (fractional)
Cs  0.500  0.500  0.500
Cd  0.250  0.250  0.250
Na  0.000  0.000  0.000
Cd  0.750  0.750  0.750



7.
Density functional theory data (SCAN) for a crystal of BaY2Os relaxed with PBEsol.

Values from the calculation:
Calculated formation energy: -0.0195 eV/atom
Total magnetic moment: 0.0 μB/cell
Space-group type: R-3m (166)
Calculated volume: 33.87 Å³/atom

abc: 4.178 4.178 9.280
angles: 102.98 90.00 120.00
Element x y z (fractional)
Y  0.786  0.571  0.856
Os  0.500  0.000  0.000
Y  0.214  0.429  0.144
Ba  0.000  0.000  0.500



8.
Density functional theory data (SCAN) for a crystal of La2OsPbW relaxed with PBEsol.

Values from the calculation:
Calculated formation energy: 1.7828 eV/atom
Total magnetic moment: 3.7 μB/cell
Space-group type: P4/mmm (123)
Calculated volume: 33.10 Å³/atom

abc: 4.862 5.834 5.834
angles: 90.00 90.00 90.00
Site moments in Bohr magnetons follow the coordinates.
Element x y z (fractional)
W  0.500  0.500  0.500  2.94
La  0.000  0.500  0.000  0.06
La  0.000  0.000  0.500  0.06
Os  0.500  0.000  0.000  -0.62
Pb  0.000  0.000  0.000  0.01